Crystalline Te2P2W at its relaxed geometry. Source: Alexandria, functional PBE-GGA.

The structure in POSCAR format:
```
Te2P2W
1.0
-1.638 1.638 11.105
1.638 -1.638 11.105
1.638 1.638 -11.105
Te P W
2 2 1
direct
0.076 0.076 0.000 Te
0.924 0.924 0.000 Te
0.250 0.750 0.500 P
0.750 0.250 0.500 P
0.500 0.500 0.000 W
```

M_tot (μB per atom): 0.0000
Formation energy from raw total energies (eV/atom): 0.3297